A plane-wave DFT calculation with PBE was carried out for an optimized crystal structure of GePd2F.

a = 6.5798 Å, b = 6.5798 Å, c = 5.6506 Å
α = 90.00°, β = 90.00°, γ = 90.00°
Closest atoms and distances in Å follow each position.
Space group I-42d (No. 122)
Inequivalent atoms, fractional coordinates:
Ge (0.0000, 0.0000, 0.0000) (multiplicity 4)  4 Pd 2.43
Pd (0.2500, 0.2500, 0.1250) (multiplicity 8)  2 Ge 2.43, 2 F 2.43
F (0.0000, 0.0000, 0.5000) (multiplicity 4)  4 Pd 2.43

## Properties
excess energy over the best structure of this formula in the dataset = 157 meV/atom

***

A plane-wave DFT calculation with PBE was carried out for an optimized crystal structure of GePdF5.

a = 3.8805 Å, b = 6.7644 Å, c = 8.1371 Å
α = 90.00°, β = 90.00°, γ = 90.00°
Closest atoms and distances in Å follow each position.
Space group Immm (No. 71)
Inequivalent atoms, fractional coordinates:
Ge (0.0000, 0.0000, 0.0000) (multiplicity 2)  6 F 1.80-1.94
Pd (0.0000, 0.0000, 0.5000) (multiplicity 2)  6 F 2.27-2.49
F (0.0000, 0.0000, 0.2215) (multiplicity 4)  1 Ge 1.80
F (0.0000, 0.2696, 0.0000) (multiplicity 4)  1 Ge 1.82
F (0.0000, 0.5000, 0.5000) (multiplicity 2)  2 Ge 1.94

## Properties
raw total energy = -63.473 eV for the cell shown

***

A plane-wave DFT calculation with PBE was carried out for an optimized crystal structure of GePd3F.

a = 4.6629 Å, b = 4.6629 Å, c = 4.6629 Å
α = 90.00°, β = 90.00°, γ = 90.00°
Closest atoms and distances in Å follow each position.
Space group Pm-3m (No. 221)
Inequivalent atoms, fractional coordinates:
Ge (0.0000, 0.0000, 0.0000) (multiplicity 1)  6 Pd 2.33
Pd (0.0000, 0.0000, 0.5000) (multiplicity 3)  2 Ge 2.33
F (0.5000, 0.5000, 0.5000) (multiplicity 1)  12 Pd 3.30

## Properties
excess energy over the best structure of this formula in the dataset = 0 meV/atom

***

A plane-wave DFT calculation with PBE was carried out for an optimized crystal structure of Ge2PdF2.

a = 6.9338 Å, b = 6.9338 Å, c = 3.7623 Å
α = 90.00°, β = 90.00°, γ = 90.00°
Closest atoms and distances in Å follow each position.
Space group P4/mbm (No. 127)
Inequivalent atoms, fractional coordinates:
Ge (0.2344, 0.2656, 0.0000) (multiplicity 4)  2 F 2.09
Pd (0.0000, 0.0000, 0.0000) (multiplicity 2)  4 Ge 2.46
F (0.1410, 0.3590, 0.5000) (multiplicity 4)  2 Ge 2.09

## Properties
excess energy over the best structure of this formula in the dataset = 0 meV/atom

***

For each record above, in turn, the calculated magnetization values are 0.000; 1.004; 0.000; 0.000 μB/f.u..